# 1
Compound: NaCa3In
Source: the Alexandria database
Functional: GGA-PBE
Structure: relaxed

## Properties
**VASP energy**: -1.592 eV per atom
**Energy above the most stable polymorph in this dataset**: 13.99 kcal/mol of atoms
**Crystal system**: cubic
**V**: 40.49 Å³ per atom
**Spin magnetization**: 0.0 μB per formula unit
**Energy relative to the elements**: 0.420 eV per atom

Geometry as extended XYZ:
```
5
Lattice="5.8719 0.0000 0.0000 0.0000 5.8719 0.0000 0.0000 0.0000 5.8719" Properties=species:S:1:pos:R:3 pbc="T T T"
Na 0.0000 0.0000 0.0000
Ca 0.0000 0.0000 2.9359
Ca 0.0000 2.9359 0.0000
Ca 2.9359 0.0000 0.0000
In 2.9359 2.9359 2.9359
```

# 2
Compound: Na2CaIn4
Source: the Alexandria database
Functional: GGA-PBE
Structure: relaxed

## Properties
**VASP energy**: -2.401 eV per atom
**Crystal system**: monoclinic
**V**: 28.09 Å³ per atom
**Spin magnetization**: 0.0 μB per formula unit
**Energy relative to the elements**: -0.173 eV per atom

Geometry as extended XYZ:
```
14
Lattice="10.1741 -3.1703 0.0000 10.1741 3.1703 0.0000 -0.6169 0.0000 6.0962" Properties=species:S:1:pos:R:3 pbc="T T T"
Na 4.0753 0.5643 1.1109
Na 3.7668 -0.5643 4.1590
Na 15.9645 0.5643 1.9372
Na 15.6560 -0.5643 4.9853
Ca 9.7114 1.1816 4.5722
Ca 10.0199 -1.1816 1.5241
In 8.5437 2.1773 1.2312
In 11.4961 2.1773 1.8170
In 6.8273 0.3116 2.9691
In 6.5189 -0.3116 6.0172
In 13.2125 0.3116 0.0790
In 12.9040 -0.3116 3.1271
In 8.2352 -2.1773 4.2793
In 11.1877 -2.1773 4.8651
```

# 3
Compound: NaCa4In5
Source: the Alexandria database
Functional: GGA-PBE
Structure: relaxed

## Properties
**VASP energy**: -2.685 eV per atom
**Crystal system**: tetragonal
**V**: 28.22 Å³ per atom
**Spin magnetization**: 0.0 μB per formula unit
**Energy relative to the elements**: -0.384 eV per atom

Geometry as extended XYZ:
```
10
Lattice="3.8785 0.0000 0.0000 0.0000 3.8785 0.0000 0.0000 0.0000 18.7569" Properties=species:S:1:pos:R:3 pbc="T T T"
Na 0.0000 0.0000 0.0000
Ca 0.0000 0.0000 3.6846
Ca 0.0000 0.0000 7.4928
Ca 0.0000 0.0000 11.2641
Ca 0.0000 0.0000 15.0723
In 1.9393 1.9393 1.7233
In 1.9393 1.9393 5.6067
In 1.9393 1.9393 9.3784
In 1.9393 1.9393 13.1502
In 1.9393 1.9393 17.0336
```

# 4
Compound: NaCaIn2
Source: the Alexandria database
Functional: GGA-PBE
Structure: relaxed

## Properties
**VASP energy**: -2.468 eV per atom
**Crystal system**: tetragonal
**V**: 27.80 Å³ per atom
**Spin magnetization**: 0.0 μB per formula unit
**Energy relative to the elements**: -0.268 eV per atom

Geometry as extended XYZ:
```
4
Lattice="5.4449 0.0000 0.0000 0.0000 5.4449 0.0000 0.0000 0.0000 3.7511" Properties=species:S:1:pos:R:3 pbc="T T T"
Na 0.0000 0.0000 0.0000
Ca 2.7224 2.7224 0.0000
In 0.0000 2.7224 1.8756
In 2.7224 0.0000 1.8756
```

# 5
Compound: Na4CaIn15
Source: the Alexandria database
Functional: GGA-PBE
Structure: relaxed

## Properties
**VASP energy**: -2.539 eV per atom
**Crystal system**: tetragonal
**V**: 26.27 Å³ per atom
**Spin magnetization**: 0.0 μB per formula unit
**Energy relative to the elements**: -0.121 eV per atom

Geometry as extended XYZ:
```
20
Lattice="4.6767 0.0000 0.0000 0.0000 4.6767 0.0000 0.0000 0.0000 24.0233" Properties=species:S:1:pos:R:3 pbc="T T T"
Na 0.0000 0.0000 2.4114
Na 0.0000 0.0000 7.2236
Na 0.0000 0.0000 16.7998
Na 0.0000 0.0000 21.6120
Ca 0.0000 0.0000 12.0117
In 0.0000 2.3384 0.0000
In 0.0000 2.3384 4.8186
In 0.0000 2.3384 9.5879
In 0.0000 2.3384 14.4355
In 0.0000 2.3384 19.2048
In 2.3384 0.0000 0.0000
In 2.3384 0.0000 4.8186
In 2.3384 0.0000 9.5879
In 2.3384 0.0000 14.4355
In 2.3384 0.0000 19.2048
In 2.3384 2.3384 2.4007
In 2.3384 2.3384 7.2339
In 2.3384 2.3384 12.0117
In 2.3384 2.3384 16.7895
In 2.3384 2.3384 21.6226
```

# 6
Compound: NaCa6In5
Source: the Alexandria database
Functional: GGA-PBE
Structure: relaxed

## Properties
**VASP energy**: -2.650 eV per atom
**Crystal system**: monoclinic
**V**: 29.48 Å³ per atom
**Spin magnetization**: 0.0 μB per formula unit
**Energy relative to the elements**: -0.398 eV per atom

Geometry as extended XYZ:
```
12
Lattice="4.7674 -8.2517 0.0000 4.7674 8.2517 0.0000 -3.1453 0.0000 4.4962" Properties=species:S:1:pos:R:3 pbc="T T T"
Na 0.0000 0.0000 0.0000
Ca 1.6307 2.8109 1.1488
Ca 0.0988 0.0000 3.4238
Ca 1.6307 -2.8109 1.1488
Ca 4.7588 2.8109 3.3474
Ca 6.2907 0.0000 1.0724
Ca 4.7588 -2.8109 3.3474
In 3.1947 5.5963 2.2481
In 4.7674 2.7768 0.0000
In 3.1947 0.0000 2.2481
In 4.7674 -2.7768 0.0000
In 3.1947 -5.5963 2.2481
```

# 7
Compound: Na3CaIn
Source: the Alexandria database
Functional: GGA-PBE
Structure: relaxed

## Properties
**VASP energy**: -1.120 eV per atom
**Energy above the most stable polymorph in this dataset**: 9.65 kcal/mol of atoms
**Crystal system**: cubic
**V**: 51.19 Å³ per atom
**Spin magnetization**: 0.0 μB per formula unit
**Energy relative to the elements**: 0.620 eV per atom

Geometry as extended XYZ:
```
5
Lattice="6.3493 0.0000 0.0000 0.0000 6.3493 0.0000 0.0000 0.0000 6.3493" Properties=species:S:1:pos:R:3 pbc="T T T"
Na 0.0000 0.0000 3.1746
Na 0.0000 3.1746 0.0000
Na 3.1746 0.0000 0.0000
Ca 0.0000 0.0000 0.0000
In 3.1746 3.1746 3.1746
```

# 8
Compound: Na2Ca2In
Source: the Alexandria database
Functional: GGA-PBE
Structure: relaxed

## Properties
**VASP energy**: -1.860 eV per atom
**Energy above the most stable polymorph in this dataset**: 0.87 kcal/mol of atoms
**Crystal system**: tetragonal
**V**: 33.18 Å³ per atom
**Spin magnetization**: 0.0 μB per formula unit
**Energy relative to the elements**: 0.016 eV per atom

Geometry as extended XYZ:
```
10
Lattice="7.9897 0.0000 0.0000 0.0000 7.9897 0.0000 0.0000 0.0000 5.1975" Properties=species:S:1:pos:R:3 pbc="T T T"
Na 1.0377 2.9572 0.0000
Na 2.9572 6.9521 0.0000
Na 5.0325 1.0377 0.0000
Na 6.9521 5.0325 0.0000
Ca 1.5078 5.5026 2.5987
Ca 2.4871 1.5078 2.5987
Ca 5.5026 6.4820 2.5987
Ca 6.4820 2.4871 2.5987
In 0.0000 0.0000 0.0000
In 3.9949 3.9949 0.0000
```

# 9
Compound: Na2Ca2In
Source: the Alexandria database
Functional: GGA-PBE
Structure: relaxed

## Properties
**VASP energy**: -1.898 eV per atom
**Energy above the most stable polymorph in this dataset**: 0.00 kcal/mol of atoms
**Crystal system**: tetragonal
**V**: 34.77 Å³ per atom
**Spin magnetization**: 0.0 μB per formula unit
**Energy relative to the elements**: -0.022 eV per atom

Geometry as extended XYZ:
```
10
Lattice="4.1331 0.0000 0.0000 0.0000 4.1331 0.0000 0.0000 0.0000 20.3560" Properties=species:S:1:pos:R:3 pbc="T T T"
Na 0.0000 2.0665 5.0890
Na 0.0000 2.0665 15.2670
Na 2.0665 0.0000 5.0890
Na 2.0665 0.0000 15.2670
Ca 0.0000 0.0000 1.7894
Ca 0.0000 0.0000 18.5666
Ca 2.0665 2.0665 8.3886
Ca 2.0665 2.0665 11.9674
In 0.0000 0.0000 10.1780
In 2.0665 2.0665 0.0000
```

# 10
Compound: NaCa3In
Source: the Alexandria database
Functional: GGA-PBE
Structure: relaxed

## Properties
**VASP energy**: -2.199 eV per atom
**Energy above the most stable polymorph in this dataset**: 0.00 kcal/mol of atoms
**Crystal system**: orthorhombic
**V**: 33.35 Å³ per atom
**Spin magnetization**: 0.0 μB per formula unit
**Energy relative to the elements**: -0.186 eV per atom

Geometry as extended XYZ:
```
10
Lattice="2.8167 -10.4976 0.0000 2.8167 10.4976 0.0000 0.0000 0.0000 5.6389" Properties=species:S:1:pos:R:3 pbc="T T T"
Na 2.8167 7.1887 4.2292
Na 2.8167 -7.1887 1.4097
Ca 2.8167 9.1108 1.4097
Ca 2.8167 5.2281 1.4097
Ca 2.8167 1.3486 1.4097
Ca 2.8167 -1.3486 4.2292
Ca 2.8167 -5.2281 4.2292
Ca 2.8167 -9.1108 4.2292
In 2.8167 3.2677 4.2292
In 2.8167 -3.2677 1.4097
```

# 11
Compound: Na2CaIn2
Source: the Alexandria database
Functional: GGA-PBE
Structure: relaxed

## Properties
**VASP energy**: -2.134 eV per atom
**Energy above the most stable polymorph in this dataset**: 0.61 kcal/mol of atoms
**Crystal system**: tetragonal
**V**: 28.51 Å³ per atom
**Spin magnetization**: 0.0 μB per formula unit
**Energy relative to the elements**: -0.111 eV per atom

Geometry as extended XYZ:
```
10
Lattice="8.8948 0.0000 0.0000 0.0000 8.8948 0.0000 0.0000 0.0000 3.6030" Properties=species:S:1:pos:R:3 pbc="T T T"
Na 1.0592 3.3882 0.0000
Na 3.3882 7.8356 0.0000
Na 5.5065 1.0592 0.0000
Na 7.8356 5.5065 0.0000
Ca 0.0000 0.0000 0.0000
Ca 4.4474 4.4474 0.0000
In 1.6080 6.0554 1.8015
In 2.8394 1.6080 1.8015
In 6.0554 7.2868 1.8015
In 7.2868 2.8394 1.8015
```

# 12
Compound: Na2CaIn
Source: the Alexandria database
Functional: GGA-PBE
Structure: relaxed

## Properties
**VASP energy**: -1.858 eV per atom
**Crystal system**: tetragonal
**V**: 33.30 Å³ per atom
**Spin magnetization**: 0.0 μB per formula unit
**Energy relative to the elements**: -0.013 eV per atom

Geometry as extended XYZ:
```
16
Lattice="4.6493 0.0000 0.0000 0.0000 4.6493 0.0000 0.0000 0.0000 24.6509" Properties=species:S:1:pos:R:3 pbc="T T T"
Na 1.0366 1.1623 3.0814
Na 1.1623 3.3612 9.2441
Na 1.1623 3.6127 21.5695
Na 1.2881 1.1623 15.4068
Na 3.3612 3.4870 15.4068
Na 3.4870 1.0366 21.5695
Na 3.4870 1.2881 9.2441
Na 3.6127 3.4870 3.0814
Ca 0.0000 0.0000 12.3254
Ca 0.0000 2.3247 18.4881
Ca 2.3247 0.0000 6.1627
Ca 2.3247 2.3247 0.0000
In 0.0000 0.0000 0.0000
In 0.0000 2.3247 6.1627
In 2.3247 0.0000 18.4881
In 2.3247 2.3247 12.3254
```

# 13
Compound: Na2CaIn2
Source: the Alexandria database
Functional: GGA-PBE
Structure: relaxed

## Properties
**VASP energy**: -2.122 eV per atom
**Energy above the most stable polymorph in this dataset**: 0.90 kcal/mol of atoms
**Crystal system**: tetragonal
**V**: 29.99 Å³ per atom
**Spin magnetization**: 0.0 μB per formula unit
**Energy relative to the elements**: -0.098 eV per atom

Geometry as extended XYZ:
```
10
Lattice="8.9041 0.0000 0.0000 0.0000 8.9041 0.0000 0.0000 0.0000 3.7832" Properties=species:S:1:pos:R:3 pbc="T T T"
Na 1.5327 2.9193 0.0000
Na 2.9193 7.3713 0.0000
Na 5.9848 1.5327 0.0000
Na 7.3713 5.9848 0.0000
Ca 0.0000 0.0000 1.8916
Ca 4.4520 4.4520 1.8916
In 1.1001 5.5522 1.8916
In 3.3519 1.1001 1.8916
In 5.5522 7.8039 1.8916
In 7.8039 3.3519 1.8916
```

# 14
Compound: NaCa2In9
Source: the Alexandria database
Functional: GGA-PBE
Structure: relaxed

## Properties
**VASP energy**: -2.727 eV per atom
**Crystal system**: tetragonal
**V**: 26.45 Å³ per atom
**Spin magnetization**: 0.0 μB per formula unit
**Energy relative to the elements**: -0.230 eV per atom

Geometry as extended XYZ:
```
12
Lattice="4.7381 0.0000 0.0000 0.0000 4.7381 0.0000 0.0000 0.0000 14.1410" Properties=species:S:1:pos:R:3 pbc="T T T"
Na 0.0000 0.0000 0.0000
Ca 0.0000 0.0000 4.6983
Ca 0.0000 0.0000 9.4427
In 0.0000 2.3690 2.3175
In 0.0000 2.3690 7.0705
In 0.0000 2.3690 11.8234
In 2.3690 0.0000 2.3175
In 2.3690 0.0000 7.0705
In 2.3690 0.0000 11.8234
In 2.3690 2.3690 0.0000
In 2.3690 2.3690 4.7638
In 2.3690 2.3690 9.3771
```

# 15
Compound: Na3CaIn
Source: the Alexandria database
Functional: GGA-PBE
Structure: relaxed

## Properties
**VASP energy**: -1.538 eV per atom
**Energy above the most stable polymorph in this dataset**: 0.00 kcal/mol of atoms
**Crystal system**: cubic
**V**: 40.41 Å³ per atom
**Spin magnetization**: 0.0 μB per formula unit
**Energy relative to the elements**: 0.201 eV per atom

Geometry as extended XYZ:
```
5
Lattice="5.8680 0.0000 0.0000 0.0000 5.8680 0.0000 0.0000 0.0000 5.8680" Properties=species:S:1:pos:R:3 pbc="T T T"
Na 0.0000 0.0000 2.9340
Na 0.0000 2.9340 0.0000
Na 2.9340 0.0000 0.0000
Ca 2.9340 2.9340 2.9340
In 0.0000 0.0000 0.0000
```

# 16
Compound: NaCa3In
Source: the Alexandria database
Functional: GGA-PBE
Structure: relaxed

## Properties
**VASP energy**: -2.023 eV per atom
**Energy above the most stable polymorph in this dataset**: 4.05 kcal/mol of atoms
**Crystal system**: cubic
**V**: 45.09 Å³ per atom
**Spin magnetization**: 0.0 μB per formula unit
**Energy relative to the elements**: -0.011 eV per atom

Geometry as extended XYZ:
```
5
Lattice="6.0864 0.0000 0.0000 0.0000 6.0864 0.0000 0.0000 0.0000 6.0864" Properties=species:S:1:pos:R:3 pbc="T T T"
Na 0.0000 0.0000 0.0000
Ca 0.0000 3.0432 3.0432
Ca 3.0432 0.0000 3.0432
Ca 3.0432 3.0432 0.0000
In 3.0432 3.0432 3.0432
```

# 17
Compound: NaCaIn4
Source: the Alexandria database
Functional: GGA-PBE
Structure: relaxed

## Properties
**VASP energy**: -2.642 eV per atom
**Energy above the most stable polymorph in this dataset**: 0.00 kcal/mol of atoms
**Crystal system**: orthorhombic
**V**: 27.68 Å³ per atom
**Spin magnetization**: 0.0 μB per formula unit
**Energy relative to the elements**: -0.263 eV per atom

Geometry as extended XYZ:
```
12
Lattice="5.0472 0.0000 0.0000 0.0000 7.5525 0.0000 0.0000 0.0000 8.7136" Properties=species:S:1:pos:R:3 pbc="T T T"
Na 0.0000 0.0000 0.0000
Na 2.5236 3.7762 4.3568
Ca 0.0000 3.7762 8.0528
Ca 2.5236 0.0000 3.6960
In 0.0000 1.5686 5.3924
In 0.0000 2.2336 2.5257
In 0.0000 5.3189 2.5257
In 0.0000 5.9838 5.3924
In 2.5236 1.5427 6.8825
In 2.5236 2.2076 1.0356
In 2.5236 5.3449 1.0356
In 2.5236 6.0098 6.8825
```

# 18
Compound: NaCaIn2
Source: the Alexandria database
Functional: GGA-PBE
Structure: relaxed

## Properties
**VASP energy**: -2.455 eV per atom
**Crystal system**: tetragonal
**V**: 27.63 Å³ per atom
**Spin magnetization**: 0.0 μB per formula unit
**Energy relative to the elements**: -0.256 eV per atom

Geometry as extended XYZ:
```
4
Lattice="3.8925 0.0000 0.0000 0.0000 3.8925 0.0000 0.0000 0.0000 7.2944" Properties=species:S:1:pos:R:3 pbc="T T T"
Na 0.0000 0.0000 0.0000
Ca 0.0000 0.0000 3.6472
In 1.9463 1.9463 1.7395
In 1.9463 1.9463 5.5549
```

# 19
Compound: NaCaNbIn2
Source: the Alexandria database
Functional: GGA-PBE
Structure: relaxed

## Properties
**VASP energy**: -2.363 eV per atom
**Crystal system**: tetragonal
**V**: 29.18 Å³ per atom
**Spin magnetization**: 0.0 μB per formula unit
**Energy relative to the elements**: 1.410 eV per atom

Geometry as extended XYZ:
```
5
Lattice="5.4872 0.0000 0.0000 0.0000 5.4872 0.0000 0.0000 0.0000 4.8454" Properties=species:S:1:pos:R:3 pbc="T T T"
Na 0.0000 0.0000 0.0000
Ca 0.0000 0.0000 2.4227
Nb 2.7436 2.7436 0.0000
In 0.0000 2.7436 2.4227
In 2.7436 0.0000 2.4227
```

# 20
Compound: NaCaNdIn
Source: the Alexandria database
Functional: GGA-PBE
Structure: relaxed

## Properties
**VASP energy**: -2.910 eV per atom
**Crystal system**: cubic
**V**: 30.47 Å³ per atom
**Spin magnetization**: 0.0 μB per formula unit
**Energy relative to the elements**: -0.203 eV per atom

Geometry as extended XYZ:
```
16
Lattice="7.8703 0.0000 0.0000 0.0000 7.8703 0.0000 0.0000 0.0000 7.8703" Properties=species:S:1:pos:R:3 pbc="T T T"
Na 0.0000 0.0000 0.0000
Na 0.0000 3.9351 3.9351
Na 3.9351 0.0000 3.9351
Na 3.9351 3.9351 0.0000
Ca 1.9676 1.9676 1.9676
Ca 1.9676 5.9027 5.9027
Ca 5.9027 1.9676 5.9027
Ca 5.9027 5.9027 1.9676
Nd 1.9676 1.9676 5.9027
Nd 1.9676 5.9027 1.9676
Nd 5.9027 1.9676 1.9676
Nd 5.9027 5.9027 5.9027
In 0.0000 0.0000 3.9351
In 0.0000 3.9351 0.0000
In 3.9351 0.0000 0.0000
In 3.9351 3.9351 3.9351
```